VASP calculation (PBE) on a relaxed K3TlTe2 crystal.

Unit cell a=19.4968 b=5.0746 c=5.1130 alpha=90.00 beta=105.17 gamma=90.00
Closest atoms and distances in Å follow each position.
Space group C2/m (No. 12)
Unique sites:
K  0.0000  0.0000  0.0000 x2  4 Te 3.51-3.52, 4 Tl 3.60
K  0.1839  0.5000  0.1821 x4  5 Te 3.54-3.75
Tl  0.0000  0.5000  0.5000 x2  4 Te 3.50, 4 K 3.60
Te  0.1281  0.0000  0.6270 x4  2 Tl 3.50, 7 K 3.51-3.75

formation energy without anion corrections: -754 meV per atom
relative energy among the computed polymorphs: 62.3 meV/atom